[1]
{"formula": "La8RuAu2", "functional": "GGA-PBE", "state": "relaxed", "lattice_angstrom": [[4.929, 0.000, 0.000], [0.000, 7.420, 1.150], [-2.465, -1.798, 9.073]], "species": ["La", "Au", "La", "La", "Au", "La", "La", "La", "La", "La", "Ru"], "fractional_positions": [[0.410, 0.525, 0.819], [0.816, 0.263, 0.632], [0.214, 0.332, 0.428], [0.590, 0.475, 0.181], [0.184, 0.737, 0.368], [0.786, 0.668, 0.572], [0.647, 0.993, 0.294], [0.989, 0.226, 0.977], [0.353, 0.007, 0.706], [0.011, 0.774, 0.023], [0.500, 0.000, 0.000]], "e_form_mev_per_atom": -361, "n_ef_per_ev_atom": 1.099, "space_group": "C2/m, No. 12", "volume_a3_per_fu": 342.1, "total_energy_ev_per_atom": -5.38, "mass_density_g_cm3": 7.80}

[2]
{"formula": "LaRuAu", "functional": "GGA-PBE", "state": "relaxed", "lattice_angstrom": [[-1.959, -1.454, -3.744], [1.518, -2.932, 3.011], [-3.620, 0.050, 1.874]], "species": ["Ru", "La", "Au"], "fractional_positions": [[0.000, 0.000, 0.500], [0.667, 0.333, 0.000], [0.333, 0.667, 0.500]], "e_form_mev_per_atom": -251, "n_ef_per_ev_atom": 0.351, "space_group": "P-6m2, No. 187", "volume_a3_per_fu": 70.5, "e_above_lowest_polymorph_mev_per_atom": 152.1, "total_energy_ev_per_atom": -6.08, "mass_density_g_cm3": 10.29}

[3]
{"formula": "LaRuAu2", "functional": "GGA-PBE", "state": "relaxed", "lattice_angstrom": [[-3.018, -1.835, 2.238], [-1.369, -1.943, -3.440], [2.784, -3.513, 0.875]], "species": ["La", "Au", "Au", "Ru"], "fractional_positions": [[0.500, 0.000, 0.500], [0.000, 0.000, 0.000], [0.500, 0.500, 0.000], [0.000, 0.500, 0.500]], "e_form_mev_per_atom": -269, "n_ef_per_ev_atom": 1.096, "space_group": "P4/mmm, No. 123", "volume_a3_per_fu": 79.9, "e_above_lowest_polymorph_mev_per_atom": 3.6, "total_energy_ev_per_atom": -5.46, "mass_density_g_cm3": 13.18}

[4]
{"formula": "LaRuAu2", "functional": "GGA-PBE", "state": "relaxed", "lattice_angstrom": [[-3.507, -3.391, -0.048], [-1.184, -2.343, 4.112], [-4.281, 0.886, 2.166]], "species": ["Ru", "Au", "La", "Au"], "fractional_positions": [[0.750, 0.750, 0.750], [0.250, 0.250, 0.250], [0.500, 0.500, 0.500], [0.000, 0.000, 0.000]], "e_form_mev_per_atom": -64, "n_ef_per_ev_atom": 0.995, "space_group": "F-43m, No. 216", "volume_a3_per_fu": 82.1, "e_above_lowest_polymorph_mev_per_atom": 207.9, "total_energy_ev_per_atom": -5.25, "mass_density_g_cm3": 12.82}

[5]
{"formula": "La2RuAu", "functional": "GGA-PBE", "state": "relaxed", "lattice_angstrom": [[-3.045, 1.988, -0.892], [-1.760, -1.495, 2.676], [0.925, 4.398, 6.647]], "species": ["Au", "La", "La", "Ru"], "fractional_positions": [[0.500, 0.750, 0.750], [0.000, 0.043, 0.021], [0.000, 0.457, 0.479], [0.500, 0.250, 0.250]], "e_form_mev_per_atom": -490, "n_ef_per_ev_atom": 0.657, "space_group": "P2/m, No. 10", "volume_a3_per_fu": 99.9, "total_energy_ev_per_atom": -6.09, "mass_density_g_cm3": 9.57}

[6]
{"formula": "La2RuAu", "functional": "GGA-PBE", "state": "relaxed", "lattice_angstrom": [[-4.436, -2.703, -5.991], [1.596, -7.454, 2.181], [-4.034, -5.073, 0.028]], "species": ["Ru", "Au", "La", "Ru", "Au", "La", "La", "La"], "fractional_positions": [[0.500, 0.500, 0.000], [0.750, 0.250, 0.500], [0.584, 0.125, 0.250], [0.250, 0.750, 0.500], [0.000, 0.000, 0.000], [0.375, 0.416, 0.750], [0.166, 0.625, 0.250], [0.875, 0.834, 0.750]], "e_form_mev_per_atom": -276, "n_ef_per_ev_atom": 0.955, "space_group": "I-42d, No. 122", "volume_a3_per_fu": 102.2, "total_energy_ev_per_atom": -5.88, "mass_density_g_cm3": 9.36}

[7]
{"formula": "La2RuAu", "functional": "GGA-PBE", "state": "relaxed", "lattice_angstrom": [[-2.456, 1.677, -1.983], [1.036, -1.867, -2.866], [-5.163, -5.519, 1.729]], "species": ["La", "Au", "Ru", "La"], "fractional_positions": [[0.000, 0.000, 0.479], [0.500, 0.500, 0.750], [0.500, 0.500, 0.250], [0.000, 0.000, 0.021]], "e_form_mev_per_atom": -489, "n_ef_per_ev_atom": 0.854, "space_group": "P4/mmm, No. 123", "volume_a3_per_fu": 99.0, "total_energy_ev_per_atom": -6.09, "mass_density_g_cm3": 9.65}

[8]
{"formula": "LaRuAu", "functional": "GGA-PBE", "state": "relaxed", "lattice_angstrom": [[-1.839, -4.222, -0.676], [0.101, -1.932, -4.233], [2.777, -3.643, -0.830]], "species": ["Ru", "Au", "La"], "fractional_positions": [[0.750, 0.750, 0.750], [0.000, 0.000, 0.000], [0.500, 0.500, 0.500]], "e_form_mev_per_atom": -19, "n_ef_per_ev_atom": 1.137, "space_group": "F-43m, No. 216", "volume_a3_per_fu": 71.3, "e_above_lowest_polymorph_mev_per_atom": 384.2, "total_energy_ev_per_atom": -5.85, "mass_density_g_cm3": 10.17}